No. 1
VASP calculation (PBE-GGA) on HfBe2Mo2 after structural relaxation.

abc: 6.451 6.451 3.279
angles: 90.00 90.00 90.00
Fractional positions:
1 Hf 0.000 0.000 0.000
2 Hf 0.500 0.500 0.000
3 Be 0.113 0.387 0.000
4 Be 0.387 0.887 0.000
5 Be 0.613 0.113 0.000
6 Be 0.887 0.613 0.000
7 Mo 0.175 0.675 0.500
8 Mo 0.325 0.175 0.500
9 Mo 0.675 0.825 0.500
10 Mo 0.825 0.325 0.500

Calculated values
Magnetic moment: 0.00 μB per cell
Energy above the lowest structure with this stoichiometry: 0.000 eV per atom

***

No. 2
VASP calculation (PBE-GGA) on Y8Ga2Pd after structural relaxation.

abc: 9.600 9.600 6.658
angles: 101.27 101.27 29.96
Fractional positions:
1 Y 0.025 0.025 0.276
2 Y 0.209 0.209 0.824
3 Y 0.345 0.345 0.517
4 Y 0.409 0.409 0.037
5 Y 0.591 0.591 0.963
6 Y 0.655 0.655 0.483
7 Y 0.791 0.791 0.176
8 Y 0.975 0.975 0.724
9 Ga 0.188 0.188 0.259
10 Ga 0.812 0.812 0.741
11 Pd 0.500 0.500 0.500

Calculated values
Magnetic moment: 0.00 μB per cell

***

No. 3
VASP calculation (PBE-GGA) on Pd3PtRh after structural relaxation.

abc: 7.327 7.327 4.697
angles: 90.00 90.00 142.49
Fractional positions:
1 Pd 0.050 0.950 0.750
2 Pd 0.152 0.848 0.250
3 Pd 0.253 0.747 0.750
4 Pd 0.747 0.253 0.250
5 Pd 0.848 0.152 0.750
6 Pd 0.950 0.050 0.250
7 Pt 0.354 0.646 0.250
8 Pt 0.646 0.354 0.750
9 Rh 0.453 0.547 0.750
10 Rh 0.547 0.453 0.250

Calculated values
Magnetic moment: 0.00 μB per cell
Energy above the lowest structure with this stoichiometry: 0.000 eV per atom

***

In meV/atom, the ΔE_f values for the records above are, in order, -178 -370 81.
In eV/atom, the E_tot values for the records above are, in order, -7.991 -6.093 -5.713.